# 1
A plane-wave DFT calculation with PBE was carried out for a geometry-optimized SrTa2Ni structure.

CIF file:
```
data_SrTa2Ni
_space_group_name_H-M_alt 'P 1'
_space_group_IT_number 1
_cell_length_a 4.9918
_cell_length_b 6.1632
_cell_length_c 2.9487
_cell_angle_alpha 79.60
_cell_angle_beta 81.67
_cell_angle_gamma 111.73
loop_
_space_group_symop_operation_xyz
'x,y,z'
loop_
_atom_site_label
_atom_site_fract_x
_atom_site_fract_y
_atom_site_fract_z
Ta1 0.5000 0.0000 0.5000
Ta2 0.0000 0.0000 0.0000
Ni1 0.0000 0.5000 0.5000
Sr1 0.5000 0.5000 0.0000
```

Results
Its formation energy is 803 meV per atom. Its space-group type is C2/m, No. 12. Its theoretical density is 10.47 g/cm3. The value obtained for the volume is 20.16 Å³ per atom. For the relative energy among the computed polymorphs, the calculation gives 1.87 eV/f.u.

# 2
A plane-wave DFT calculation with PBE was carried out for a geometry-optimized Sr2TaNi structure.

CIF file:
```
data_Sr2TaNi
_space_group_name_H-M_alt 'P 1'
_space_group_IT_number 1
_cell_length_a 5.4291
_cell_length_b 5.4291
_cell_length_c 5.4291
_cell_angle_alpha 60.00
_cell_angle_beta 60.00
_cell_angle_gamma 60.00
loop_
_space_group_symop_operation_xyz
'x,y,z'
loop_
_atom_site_label
_atom_site_fract_x
_atom_site_fract_y
_atom_site_fract_z
Ni1 0.0000 0.0000 0.0000
Sr1 0.7500 0.7500 0.7500
Sr2 0.2500 0.2500 0.2500
Ta1 0.5000 0.5000 0.5000
```

Results
Its formation energy is 1093 meV per atom. Its space-group type is Fm-3m, No. 225. Its theoretical density is 6.09 g/cm3. The value obtained for the volume is 28.29 Å³ per atom. For the relative energy among the computed polymorphs, the calculation gives 2.97 eV/f.u.